# 1
First-principles (PBE-GGA) data for a geometry-optimized LiY2Pb structure, as listed in Alexandria via LeMat-Bulk.

Unit cell a=3.622 b=4.608 c=6.659 alpha=90.00 beta=90.00 gamma=90.00
Each line ends with the local moment (μB).
Atoms (fractional coordinates):
Li: 0.000 0.000 0.506  0.00
Pb: 0.500 0.500 0.749  0.00
Y: 0.000 0.000 0.978  0.15
Y: 0.500 0.500 0.267  0.17

* formation enthalpy at 0 K: -0.73 eV/f.u.
* SG: Pmm2 (25)
* density: 5.86 g cm⁻³
* total energy: -4.82 eV per atom



# 2
First-principles (PBE-GGA) data for a geometry-optimized Li4GaSn structure, as listed in Alexandria via LeMat-Bulk.

Unit cell a=4.582 b=5.692 c=8.393 alpha=70.60 beta=90.00 gamma=90.00
Atoms (fractional coordinates):
Li: 0.250 0.793 0.417
Li: 0.250 0.960 0.084
Li: 0.750 0.712 0.583
Li: 0.750 0.543 0.917
Li: 0.750 0.207 0.583
Li: 0.250 0.288 0.417
Li: 0.750 0.040 0.916
Li: 0.250 0.457 0.083
Ga: 0.750 0.121 0.257
Ga: 0.250 0.879 0.743
Sn: 0.750 0.627 0.246
Sn: 0.250 0.373 0.754

* formation enthalpy at 0 K: -1.98 eV/f.u.
* distance to the lowest polymorph of the same formula: 0 meV/atom
* SG: P2_1/m (11)
* density: 3.48 g cm⁻³
* total energy: -2.78 eV per atom



# 3
First-principles (PBE-GGA) data for a geometry-optimized Sc3Be2B9 structure, as listed in Alexandria via LeMat-Bulk.

Unit cell a=3.162 b=7.588 c=7.588 alpha=43.63 beta=77.98 gamma=77.98
Atoms (fractional coordinates):
Sc: 0.000 0.000 0.000
Sc: 0.750 0.250 0.250
Sc: 0.250 0.750 0.750
Be: 0.500 0.324 0.676
Be: 0.500 0.676 0.324
B: 0.000 0.500 0.500
B: 0.627 0.033 0.712
B: 0.373 0.967 0.288
B: 0.627 0.712 0.033
B: 0.373 0.288 0.967
B: 0.881 0.787 0.452
B: 0.119 0.213 0.548
B: 0.881 0.452 0.787
B: 0.119 0.548 0.213

* formation enthalpy at 0 K: -6.58 eV/f.u.
* SG: Immm (71)
* density: 3.39 g cm⁻³
* total energy: -6.65 eV per atom



# 4
First-principles (PBE-GGA) data for a geometry-optimized BaBrF2 structure, as listed in Alexandria via LeMat-Bulk.

Unit cell a=4.859 b=4.859 c=4.859 alpha=60.00 beta=60.00 gamma=60.00
Each line ends with the local moment (μB).
Atoms (fractional coordinates):
Ba: 0.500 0.500 0.500  0.00
Br: 0.000 0.000 0.000  0.48
F: 0.250 0.250 0.250  0.17
F: 0.750 0.750 0.750  0.17

* distance to the lowest polymorph of the same formula: 174 meV/atom
* SG: Fm-3m (225)
* density: 5.22 g cm⁻³
* raw formation energy: -2.365 eV/atom
* total energy: -4.20 eV per atom



# 5
First-principles (PBE-GGA) data for a geometry-optimized Dy2Er3Cu3 structure, as listed in Alexandria via LeMat-Bulk.

Unit cell a=3.515 b=5.053 c=10.823 alpha=103.50 beta=99.35 gamma=90.00
Atoms (fractional coordinates):
Dy: 0.274 0.774 0.548
Dy: 0.726 0.226 0.452
Er: 0.385 0.385 0.769
Er: 0.615 0.615 0.231
Er: 0.500 0.000 0.000
Cu: 0.886 0.886 0.773
Cu: 0.000 0.500 0.000
Cu: 0.114 0.114 0.227

* formation enthalpy at 0 K: -1.27 eV/f.u.
* SG: Immm (71)
* density: 9.17 g cm⁻³
* total energy: -4.56 eV per atom



Look up the total energy of the third one.
-6.65 eV per atom